(1)
Computed, not measured: crystalline CaAcAu4 at its relaxed geometry at the PBE-GGA level of DFT.

**Mass density**: 12.48 g cm⁻³
**Space-group type**: F-43m

Cell lengths 5.8329, 5.8329, 5.8329 Å; angles 60.00, 60.00, 60.00 degrees
Closest atoms and distances in Å follow each position.
Element x y z (fractional)
Ac  0.2500  0.2500  0.2500  12 Au 3.42, 4 Ca 3.57
Au  0.6261  0.6261  0.1216  6 Au 2.89-2.94
Au  0.6261  0.1216  0.6261  6 Au 2.89-2.94
Au  0.6261  0.6261  0.6261  6 Au 2.89-2.94
Au  0.1216  0.6261  0.6261  6 Au 2.89-2.94
Ca  0.0000  0.0000  0.0000  12 Au 3.42, 4 Ac 3.57

***

(2)
Computed, not measured: crystalline CaAc12Au7 at its relaxed geometry at the PBE-GGA level of DFT.

**Mass density**: 8.85 g cm⁻³
**Space-group type**: R-3

Cell lengths 9.8310, 9.8310, 9.8310 Å; angles 107.65, 107.65, 107.65 degrees
Closest atoms and distances in Å follow each position.
Element x y z (fractional)
Ca  0.0000  0.0000  0.0000  6 Au 3.09
Ac  0.9272  0.3075  0.7702  3 Au 3.14-3.16
Ac  0.6925  0.2298  0.0728  3 Au 3.14-3.16
Ac  0.4780  0.1524  0.3968  3 Au 3.15-3.17
Ac  0.8476  0.6032  0.5220  3 Au 3.15-3.17
Ac  0.2298  0.0728  0.6925  3 Au 3.14-3.16
Ac  0.6032  0.5220  0.8476  3 Au 3.15-3.17
Ac  0.3968  0.4780  0.1524  3 Au 3.15-3.17
Ac  0.7702  0.9272  0.3075  3 Au 3.14-3.16
Ac  0.1524  0.3968  0.4780  3 Au 3.15-3.17
Ac  0.5220  0.8476  0.6032  3 Au 3.15-3.17
Ac  0.3075  0.7702  0.9272  3 Au 3.14-3.16
Ac  0.0728  0.6925  0.2298  3 Au 3.14-3.16
Au  0.9512  0.6521  0.8769  1 Ca 3.09, 5 Ac 3.14-3.16
Au  0.3479  0.1231  0.0488  1 Ca 3.09, 5 Ac 3.14-3.16
Au  0.1231  0.0488  0.3479  1 Ca 3.09, 5 Ac 3.14-3.16
Au  0.5000  0.5000  0.5000  6 Ac 3.17
Au  0.8769  0.9512  0.6521  1 Ca 3.09, 5 Ac 3.14-3.16
Au  0.6521  0.8769  0.9512  1 Ca 3.09, 5 Ac 3.14-3.16
Au  0.0488  0.3479  0.1231  1 Ca 3.09, 5 Ac 3.14-3.16

***

(3)
Computed, not measured: crystalline CaAc2Au4 at its relaxed geometry at the PBE-GGA level of DFT.

**Mass density**: 10.14 g cm⁻³
**Space-group type**: R-3m

Cell lengths 5.2755, 5.2755, 9.2292 Å; angles 73.39, 73.39, 60.00 degrees
Closest atoms and distances in Å follow each position.
Element x y z (fractional)
Ca  0.0000  0.0000  0.0000  8 Au 3.09-3.15
Au  0.8817  0.8817  0.3548  1 Ca 3.09, 4 Ac 3.12-3.22
Au  0.1183  0.1183  0.6452  1 Ca 3.09, 4 Ac 3.12-3.22
Au  0.6354  0.6354  0.0937  3 Ca 3.15, 4 Ac 3.22-3.43, 3 Au 3.46
Au  0.3646  0.3646  0.9063  3 Ca 3.15, 4 Ac 3.22-3.43, 3 Au 3.46
Ac  0.7585  0.7585  0.7246  8 Au 3.12-3.43
Ac  0.2415  0.2415  0.2754  8 Au 3.12-3.43

***

(4)
Computed, not measured: crystalline Ca2AcAu4 at its relaxed geometry at the PBE-GGA level of DFT.

**Mass density**: 9.82 g cm⁻³
**Space-group type**: Immm

Cell lengths 4.4608, 4.0931, 10.5851 Å; angles 101.15, 102.16, 90.00 degrees
Closest atoms and distances in Å follow each position.
Element x y z (fractional)
Ca  0.8113  0.8113  0.6226  7 Au 3.09-3.16
Ca  0.1887  0.1887  0.3774  7 Au 3.09-3.16
Au  0.6581  0.6581  0.3163  2 Au 2.86, 5 Ca 3.09-3.11
Au  0.3419  0.3419  0.6837  2 Au 2.86, 5 Ca 3.09-3.11
Au  0.0700  0.5700  0.1401  3 Au 2.84-2.86, 2 Ca 3.16
Au  0.9300  0.4300  0.8599  3 Au 2.84-2.86, 2 Ca 3.16
Ac  0.5000  0.0000  0.0000  8 Au 3.34

***

(5)
Computed, not measured: crystalline CaAcAu2 at its relaxed geometry at the PBE-GGA level of DFT.

**Mass density**: 10.06 g cm⁻³
**Space-group type**: Fm-3m

Cell lengths 5.3634, 5.3634, 5.3634 Å; angles 60.00, 60.00, 60.00 degrees
Closest atoms and distances in Å follow each position.
Element x y z (fractional)
Ac  0.5000  0.5000  0.5000  8 Au 3.28
Au  0.7500  0.7500  0.7500  4 Ac 3.28, 4 Ca 3.28
Au  0.2500  0.2500  0.2500  4 Ac 3.28, 4 Ca 3.28
Ca  0.0000  0.0000  0.0000  8 Au 3.28

***

(6)
Computed, not measured: crystalline CaAcAu10 at its relaxed geometry at the PBE-GGA level of DFT.

**Mass density**: 14.23 g cm⁻³
**Space-group type**: Pmmm

Cell lengths 4.7270, 5.6623, 9.7508 Å; angles 90.00, 90.00, 90.00 degrees
Closest atoms and distances in Å follow each position.
Element x y z (fractional)
Ca  0.0000  0.0000  0.0000  6 Au 3.17-3.23
Ac  0.0000  0.5000  0.5000  18 Au 3.31-3.69
Au  0.0000  0.0000  0.3251  6 Au 2.85-2.91, 1 Ca 3.17
Au  0.0000  0.5000  0.8405  7 Au 2.83-3.11
Au  0.0000  0.5000  0.1595  7 Au 2.83-3.11
Au  0.0000  0.0000  0.6749  6 Au 2.85-2.91, 1 Ca 3.17
Au  0.5000  0.0000  0.5000  8 Au 2.81-2.91
Au  0.5000  0.5000  0.0000  8 Au 2.82-2.83
Au  0.5000  0.2514  0.2510  8 Au 2.81-2.89
Au  0.5000  0.7486  0.7490  8 Au 2.81-2.89
Au  0.5000  0.7486  0.2510  8 Au 2.81-2.89
Au  0.5000  0.2514  0.7490  8 Au 2.81-2.89

***

(7)
Computed, not measured: crystalline CaAcAu4 at its relaxed geometry at the PBE-GGA level of DFT.

**Mass density**: 11.85 g cm⁻³
**Space-group type**: Imm2

Cell lengths 6.0821, 4.7578, 6.0837 Å; angles 66.94, 87.59, 66.97 degrees
Closest atoms and distances in Å follow each position.
Element x y z (fractional)
Ca  0.9632  0.9973  0.5362  12 Au 3.28-3.54
Ac  0.5398  0.4974  0.9597  12 Au 3.28-3.51
Au  0.5529  0.7826  0.3749  3 Au 2.80
Au  0.3690  0.2912  0.5411  4 Au 2.80-3.03
Au  0.1245  0.2122  0.9464  3 Au 2.80
Au  0.9584  0.7031  0.1305  4 Au 2.80-3.03

***

(8)
Computed, not measured: crystalline CaAcAu2 at its relaxed geometry at the PBE-GGA level of DFT.

**Mass density**: 9.62 g cm⁻³
**Space-group type**: Amm2

Cell lengths 4.1181, 4.8388, 6.0858 Å; angles 90.00, 109.78, 90.00 degrees
Closest atoms and distances in Å follow each position.
Element x y z (fractional)
Ca  0.4464  0.5000  0.4318  7 Au 3.20-3.26
Ac  0.7196  0.0000  0.9780  7 Au 3.19-3.27
Au  0.1679  0.5000  0.8739  2 Au 3.10, 3 Ca 3.20-3.26, 4 Ac 3.23
Au  0.9971  0.0000  0.5343  2 Au 3.10, 3 Ac 3.19-3.27, 4 Ca 3.23

***

(9)
Computed, not measured: crystalline CaAcAu2 at its relaxed geometry at the PBE-GGA level of DFT.

**Mass density**: 8.92 g cm⁻³
**Space-group type**: R3m

Cell lengths 4.3522, 4.3522, 7.9138 Å; angles 74.04, 74.04, 60.00 degrees
Closest atoms and distances in Å follow each position.
Element x y z (fractional)
Ca  0.4970  0.4970  0.5089  6 Au 3.03-3.12
Ac  0.6690  0.6690  0.9931  6 Au 3.17-3.22
Au  0.0881  0.0881  0.7356  3 Ca 3.03, 3 Ac 3.17
Au  0.2459  0.2459  0.2624  3 Ca 3.12, 3 Ac 3.22

***

(10)
Computed, not measured: crystalline CaAcAu3 at its relaxed geometry at the PBE-GGA level of DFT.

**Mass density**: 8.40 g cm⁻³
**Space-group type**: I-4m2

Cell lengths 5.4259, 5.4259, 12.1410 Å; angles 102.91, 102.91, 90.00 degrees
Closest atoms and distances in Å follow each position.
Element x y z (fractional)
Ca  0.6390  0.1390  0.2780  6 Au 2.86-3.07
Ca  0.8610  0.3610  0.7220  6 Au 2.86-3.07
Ac  0.0000  0.0000  0.0000  4 Au 3.10
Ac  0.2500  0.7500  0.5000  8 Au 3.18-3.27
Au  0.6258  0.8793  0.7586  2 Au 2.68-2.75
Au  0.1207  0.8672  0.2414  2 Au 2.68-2.75
Au  0.1207  0.3742  0.2414  2 Au 2.68-2.75
Au  0.1328  0.8793  0.7586  2 Au 2.68-2.75
Au  0.3217  0.3217  0.6434  2 Ca 2.86, 2 Ac 3.18
Au  0.6783  0.6783  0.3566  2 Ca 2.86, 2 Ac 3.18

***

(11)
Computed, not measured: crystalline Ca2AcAu at its relaxed geometry at the PBE-GGA level of DFT.

**Mass density**: 5.98 g cm⁻³
**Space-group type**: P2_1/m

Cell lengths 4.1153, 6.7066, 10.6561 Å; angles 90.00, 90.00, 107.95 degrees
Closest atoms and distances in Å follow each position.
Element x y z (fractional)
Ca  0.3600  0.7199  0.5665  2 Au 3.08-3.09
Ca  0.6400  0.2801  0.4335  2 Au 3.08-3.09
Ca  0.3600  0.7199  0.9335  2 Au 3.08-3.09
Ca  0.6400  0.2801  0.0665  2 Au 3.08-3.09
Ac  0.9216  0.8440  0.2500  2 Au 3.15-3.16
Ac  0.0784  0.1560  0.7500  2 Au 3.15-3.16
Au  0.7655  0.5307  0.7500  4 Ca 3.08-3.09, 2 Ac 3.15-3.16
Au  0.2345  0.4693  0.2500  4 Ca 3.08-3.09, 2 Ac 3.15-3.16

***

(12)
Computed, not measured: crystalline Ca2AcAu at its relaxed geometry at the PBE-GGA level of DFT.

**Mass density**: 5.74 g cm⁻³
**Space-group type**: R3m

Cell lengths 4.0078, 4.0078, 10.7394 Å; angles 79.25, 79.25, 60.00 degrees
Closest atoms and distances in Å follow each position.
Element x y z (fractional)
Ca  0.0598  0.0598  0.8205  3 Au 2.99
Ca  0.2734  0.2734  0.1798  3 Au 2.98
Ac  0.5003  0.5003  0.4991  6 Ac 4.01, 6 Ca 4.07-4.09
Au  0.6665  0.6665  0.0006  6 Ca 2.98-2.99

***

Total energy values, unit eV/atom, following the record order: -3.776 -4.159 -4.026 -3.838 -3.969 -3.684 -3.969 -3.982 -3.889 -3.631 -3.268 -3.183.
Energy of formation from the pure elements values, unit meV per atom, following the record order: -573 -447 -694 -807 -802 -444 -766 -816 -722 -442 -420 -336.
Volume values, unit Å³/cell, following the record order: 140.3 776.9 210.0 185.2 109.1 261.0 147.8 114.1 123.1 339.1 279.8 145.9.